A plane-wave DFT calculation with SCAN was carried out for a crystal of Sr3CuNi relaxed with PBEsol.

Output
- formation energy (eV per formula unit) = 1.53
- SG = Pm-3m, No. 221
- total magnetic moment (μB/f.u.) = 0.000

Unit cell a=5.541 b=5.541 c=5.541 alpha=90.00 beta=90.00 gamma=90.00
Positions (direct):
Sr: 0.000 0.000 0.500
Sr: 0.000 0.500 0.000
Sr: 0.500 0.000 0.000
Cu: 0.500 0.500 0.500
Ni: 0.000 0.000 0.000

A plane-wave DFT calculation with SCAN was carried out for a crystal of SeBr2 relaxed with PBEsol.

Output
- energy relative to the elements, uncorrected (eV per atom) = -0.0093
- SG = P4_2/mnm, No. 136
- total magnetic moment (μB/f.u.) = 0.000

Unit cell a=7.622 b=7.622 c=3.605 alpha=90.00 beta=90.00 gamma=90.00
Positions (direct):
Se: 0.000 0.000 0.000
Se: 0.500 0.500 0.500
Br: 0.173 0.173 0.500
Br: 0.327 0.673 0.000
Br: 0.673 0.327 0.000
Br: 0.827 0.827 0.500